# 1
DFT (PBE) results for a relaxed Al2SiRu crystal.

a = 8.8353 Å, b = 2.9443 Å, c = 4.4025 Å
α = 90.00°, β = 97.97°, γ = 90.00°
Closest atoms and distances in Å follow each position.
Space group C2/m (No. 12)
Asymmetric unit:
Al1 0.2414 0.0000 0.2423 (multiplicity 4)  3 Si 2.55-2.82, 4 Al 2.61-2.69, 3 Ru 2.65-2.69
Si1 0.0000 0.0000 0.5000 (multiplicity 2)  6 Al 2.55-2.82, 4 Ru 2.65
Ru1 0.0000 0.5000 0.0000 (multiplicity 2)  4 Si 2.65, 6 Al 2.65-2.69, 2 Ru 2.94

Computed properties:
size of the total moment	0.000	μB/atom
volume	113.42	Å³ per cell
ΔE_f (raw)	-0.257	eV per atom

***

# 2
DFT (PBE) results for a relaxed Al2SiRu crystal.

a = 6.0928 Å, b = 6.0928 Å, c = 6.0928 Å
α = 90.00°, β = 90.00°, γ = 90.00°
Closest atoms and distances in Å follow each position.
Space group F-43m (No. 216)
Asymmetric unit:
Al1 0.0000 0.0000 0.0000 (multiplicity 4)  4 Al 2.64, 4 Si 2.64
Al2 0.2500 0.2500 0.2500 (multiplicity 4)  4 Ru 2.64, 4 Al 2.64
Si1 0.2500 0.2500 0.7500 (multiplicity 4)  4 Ru 2.64, 4 Al 2.64
Ru1 0.0000 0.0000 0.5000 (multiplicity 4)  4 Al 2.64, 4 Si 2.64

Computed properties:
size of the total moment	0.000	μB/atom
volume	226.18	Å³ per cell
ΔE_f (raw)	-0.094	eV per atom

***

# 3
DFT (PBE) results for a relaxed Al2SiRu3 crystal.

a = 4.2183 Å, b = 12.6116 Å, c = 2.9733 Å
α = 90.00°, β = 90.00°, γ = 90.00°
Closest atoms and distances in Å follow each position.
Space group Cmmm (No. 65)
Asymmetric unit:
Al1 0.0000 0.1704 0.0000 (multiplicity 4)  8 Ru 2.58-2.61
Si1 0.0000 0.5000 0.0000 (multiplicity 2)  8 Ru 2.50-2.58
Ru1 0.0000 0.0000 0.5000 (multiplicity 2)  4 Si 2.58, 4 Al 2.61
Ru2 0.0000 0.3404 0.5000 (multiplicity 4)  2 Si 2.50, 6 Al 2.58-2.61

Computed properties:
size of the total moment	0.000	μB/atom
volume	158.18	Å³ per cell
ΔE_f (raw)	-0.714	eV per atom

***

# 4
DFT (PBE) results for a relaxed Al2Si2Ru crystal.

a = 6.1688 Å, b = 6.1688 Å, c = 3.9275 Å
α = 90.00°, β = 90.00°, γ = 90.00°
Closest atoms and distances in Å follow each position.
Space group P4/mbm (No. 127)
Asymmetric unit:
Al1 0.1748 0.3252 0.0000 (multiplicity 4)  6 Si 2.57-2.75
Si1 0.1343 0.6343 0.5000 (multiplicity 4)  1 Si 2.34, 2 Ru 2.40, 2 Al 2.57
Ru1 0.0000 0.0000 0.5000 (multiplicity 2)  4 Si 2.40

Computed properties:
size of the total moment	0.000	μB/atom
volume	149.46	Å³ per cell
ΔE_f (raw)	-0.146	eV per atom

***

# 5
DFT (PBE) results for a relaxed Al2SiRu crystal.

a = 2.9251 Å, b = 2.9251 Å, c = 24.3461 Å
α = 90.00°, β = 90.00°, γ = 120.00°
Closest atoms and distances in Å follow each position.
Space group R3m (No. 160, hexagonal axes)
Asymmetric unit:
Al1 0.0000 0.0000 0.0000 (multiplicity 3)  3 Si 2.76, 9 Al 2.80-2.93
Al2 0.0000 0.0000 0.2418 (multiplicity 3)  3 Ru 2.61, 3 Al 2.80
Si1 0.0000 0.0000 0.7563 (multiplicity 3)  3 Ru 2.41
Ru1 0.0000 0.0000 0.4936 (multiplicity 3)  3 Si 2.41, 3 Al 2.61

Computed properties:
size of the total moment	0.001	μB/atom
volume	180.40	Å³ per cell
ΔE_f (raw)	-0.215	eV per atom

***

# 6
DFT (PBE) results for a relaxed Al2SiRu crystal.

a = 2.9520 Å, b = 2.9520 Å, c = 6.8078 Å
α = 90.00°, β = 90.00°, γ = 90.00°
Closest atoms and distances in Å follow each position.
Space group P4mm (No. 99)
Asymmetric unit:
Al1 0.0000 0.0000 0.0000 (multiplicity 1)  4 Si 2.76, 8 Al 2.94-2.95, 1 Ru 3.09
Al2 0.5000 0.5000 0.3033 (multiplicity 1)  4 Ru 2.66, 8 Al 2.94-2.95, 1 Si 2.94
Si1 0.5000 0.5000 0.7353 (multiplicity 1)  4 Ru 2.45
Ru1 0.0000 0.0000 0.5464 (multiplicity 1)  4 Si 2.45, 4 Al 2.66

Computed properties:
size of the total moment	0.000	μB/atom
volume	59.33	Å³ per cell
ΔE_f (raw)	-0.259	eV per atom

***

# 7
DFT (PBE) results for a relaxed Al2SiRu crystal.

a = 8.6653 Å, b = 2.9585 Å, c = 4.4834 Å
α = 90.00°, β = 98.66°, γ = 90.00°
Closest atoms and distances in Å follow each position.
Space group Cm (No. 8)
Asymmetric unit:
Al1 0.0000 0.0000 0.0000 (multiplicity 2)  3 Al 2.55-2.80, 3 Ru 2.60-2.69, 4 Si 2.62-2.77
Al2 0.2406 0.0000 0.7341 (multiplicity 2)  3 Si 2.52-2.81, 3 Al 2.55-2.80, 4 Ru 2.65-2.72
Si1 0.4787 0.0000 0.4736 (multiplicity 2)  7 Al 2.52-2.81, 3 Ru 2.58-2.67
Ru1 0.2465 0.5000 0.2447 (multiplicity 2)  3 Si 2.58-2.67, 7 Al 2.60-2.72

Computed properties:
size of the total moment	0.000	μB/atom
volume	113.63	Å³ per cell
ΔE_f (raw)	-0.339	eV per atom

***

# 8
DFT (PBE) results for a relaxed Al2SiRu crystal.

a = 4.2964 Å, b = 4.2964 Å, c = 3.0483 Å
α = 90.00°, β = 90.00°, γ = 90.00°
Closest atoms and distances in Å follow each position.
Space group P4/mmm (No. 123)
Asymmetric unit:
Al1 0.0000 0.5000 0.0000 (multiplicity 2)  4 Ru 2.63, 4 Si 2.63
Si1 0.0000 0.0000 0.5000 (multiplicity 1)  8 Al 2.63
Ru1 0.5000 0.5000 0.5000 (multiplicity 1)  8 Al 2.63

Computed properties:
size of the total moment	0.000	μB/atom
volume	56.27	Å³ per cell
ΔE_f (raw)	-0.234	eV per atom